1.
Below is a geometry-optimized Mg2Si3Pt4 structure, with properties calculated at the GGA-PBE level.

## Properties
final energy: -5.61 eV per atom

Unit cell a=7.8904 b=7.8904 c=7.0129 alpha=90.00 beta=90.00 gamma=138.99
Fractional coordinates of all 18 atoms:
1 Mg 0.0933 0.9067 0.8986
2 Mg 0.4067 0.5933 0.3986
3 Mg 0.5933 0.4067 0.6014
4 Mg 0.9067 0.0933 0.1014
5 Si 0.0000 0.0000 0.5000
6 Si 0.0154 0.4846 0.7500
7 Si 0.4846 0.0154 0.2500
8 Si 0.5000 0.5000 0.0000
9 Si 0.5154 0.9846 0.7500
10 Si 0.9846 0.5154 0.2500
11 Pt 0.1784 0.8216 0.5359
12 Pt 0.1836 0.3164 0.7500
13 Pt 0.3164 0.1836 0.2500
14 Pt 0.3216 0.6784 0.0359
15 Pt 0.6784 0.3216 0.9641
16 Pt 0.6836 0.8164 0.7500
17 Pt 0.8164 0.6836 0.2500
18 Pt 0.8216 0.1784 0.4641

=====

2.
Below is a geometry-optimized Sm2MgSi3Pt4 structure, with properties calculated at the GGA-PBE level.

## Properties
final energy: -6.21 eV per atom

Unit cell a=4.2510 b=4.2510 c=10.1641 alpha=90.00 beta=90.00 gamma=90.00
Fractional coordinates of all 10 atoms:
1 Sm 0.0000 0.5000 0.2459
2 Sm 0.5000 0.0000 0.7541
3 Mg 0.0000 0.0000 0.5000
4 Si 0.0000 0.5000 0.8732
5 Si 0.5000 0.0000 0.1268
6 Si 0.5000 0.5000 0.5000
7 Pt 0.0000 0.0000 0.0000
8 Pt 0.0000 0.5000 0.6402
9 Pt 0.5000 0.0000 0.3598
10 Pt 0.5000 0.5000 0.0000

=====

3.
Below is a geometry-optimized SmMg2Si2Pt structure, with properties calculated at the GGA-PBE level.

## Properties
final energy: -4.23 eV per atom

Unit cell a=6.4186 b=6.4186 c=6.4186 alpha=133.06 beta=133.06 gamma=68.56
Fractional coordinates of all 6 atoms:
1 Sm 0.0000 0.0000 0.0000
2 Mg 0.2500 0.7500 0.5000
3 Mg 0.7500 0.2500 0.5000
4 Si 0.2844 0.2844 0.0000
5 Si 0.7156 0.7156 0.0000
6 Pt 0.5000 0.5000 0.0000

=====

4.
Below is a geometry-optimized Sm2MgSiPt6 structure, with properties calculated at the GGA-PBE level.

## Properties
final energy: -6.11 eV per atom

Unit cell a=8.0644 b=8.0644 c=8.0644 alpha=41.14 beta=41.14 gamma=41.14
Fractional coordinates of all 10 atoms:
1 Sm 0.2089 0.2089 0.2089
2 Sm 0.7911 0.7911 0.7911
3 Mg 0.5000 0.5000 0.5000
4 Si 0.0000 0.0000 0.0000
5 Pt 0.2458 0.2458 0.7307
6 Pt 0.2458 0.7307 0.2458
7 Pt 0.2693 0.7542 0.7542
8 Pt 0.7307 0.2458 0.2458
9 Pt 0.7542 0.2693 0.7542
10 Pt 0.7542 0.7542 0.2693

=====

5.
Below is a geometry-optimized Sm2MgSi4Pt3 structure, with properties calculated at the GGA-PBE level.

## Properties
final energy: -6.07 eV per atom

Unit cell a=4.1951 b=4.1951 c=10.3664 alpha=90.00 beta=90.00 gamma=90.00
Fractional coordinates of all 10 atoms:
1 Sm 0.0000 0.5000 0.2426
2 Sm 0.5000 0.0000 0.7574
3 Mg 0.0000 0.0000 0.5000
4 Si 0.0000 0.0000 0.0000
5 Si 0.0000 0.5000 0.6487
6 Si 0.5000 0.0000 0.3513
7 Si 0.5000 0.5000 0.0000
8 Pt 0.0000 0.5000 0.8820
9 Pt 0.5000 0.0000 0.1180
10 Pt 0.5000 0.5000 0.5000

=====

6.
Below is a geometry-optimized SmMg2SiPt2 structure, with properties calculated at the GGA-PBE level.

## Properties
final energy: -4.73 eV per atom

Unit cell a=6.3757 b=6.3757 c=6.3757 alpha=132.77 beta=132.77 gamma=69.02
Fractional coordinates of all 6 atoms:
1 Sm 0.0000 0.0000 0.0000
2 Mg 0.2500 0.7500 0.5000
3 Mg 0.7500 0.2500 0.5000
4 Si 0.5000 0.5000 0.0000
5 Pt 0.2846 0.2846 0.0000
6 Pt 0.7154 0.7154 0.0000

=====

7.
Below is a geometry-optimized MgSi2Sn2Pt7 structure, with properties calculated at the GGA-PBE level.

## Properties
final energy: -5.78 eV per atom

Unit cell a=15.2881 b=15.2881 c=15.2881 alpha=165.37 beta=165.37 gamma=20.75
Fractional coordinates of all 12 atoms:
1 Mg 0.0000 0.0000 0.0000
2 Si 0.3830 0.3830 0.0000
3 Si 0.6170 0.6170 0.0000
4 Sn 0.2111 0.2111 0.0000
5 Sn 0.7889 0.7889 0.0000
6 Pt 0.0702 0.5702 0.5000
7 Pt 0.3054 0.3054 0.0000
8 Pt 0.4298 0.9298 0.5000
9 Pt 0.5000 0.5000 0.0000
10 Pt 0.5702 0.0702 0.5000
11 Pt 0.6946 0.6946 0.0000
12 Pt 0.9298 0.4298 0.5000

=====

8.
Below is a geometry-optimized Sr2MgSi3Pt12 structure, with properties calculated at the GGA-PBE level.

## Properties
final energy: -5.64 eV per atom

Unit cell a=7.6974 b=7.6974 c=7.6974 alpha=65.57 beta=65.57 gamma=65.57
Fractional coordinates of all 18 atoms:
1 Sr 0.1085 0.1085 0.1085
2 Sr 0.8915 0.8915 0.8915
3 Mg 0.5000 0.5000 0.5000
4 Si 0.0000 0.5000 0.5000
5 Si 0.5000 0.0000 0.5000
6 Si 0.5000 0.5000 0.0000
7 Pt 0.1253 0.6296 0.6296
8 Pt 0.1504 0.1504 0.5969
9 Pt 0.1504 0.5969 0.1504
10 Pt 0.3704 0.3704 0.8747
11 Pt 0.3704 0.8747 0.3704
12 Pt 0.4031 0.8496 0.8496
13 Pt 0.5969 0.1504 0.1504
14 Pt 0.6296 0.1253 0.6296
15 Pt 0.6296 0.6296 0.1253
16 Pt 0.8496 0.4031 0.8496
17 Pt 0.8496 0.8496 0.4031
18 Pt 0.8747 0.3704 0.3704

=====

9.
Below is a geometry-optimized SrMgSiPt2 structure, with properties calculated at the GGA-PBE level.

## Properties
final energy: -4.98 eV per atom

Unit cell a=6.3588 b=6.3588 c=6.3588 alpha=140.98 beta=140.98 gamma=56.38
Fractional coordinates of all 5 atoms:
1 Sr 0.0000 0.0000 0.0000
2 Mg 0.7500 0.2500 0.5000
3 Si 0.2500 0.7500 0.5000
4 Pt 0.3760 0.3760 0.0000
5 Pt 0.6240 0.6240 0.0000

=====

10.
Below is a geometry-optimized SrMgSi2Pt2 structure, with properties calculated at the GGA-PBE level.

## Properties
final energy: -5.22 eV per atom

Unit cell a=4.2841 b=4.2841 c=7.3427 alpha=90.00 beta=90.00 gamma=120.00
Fractional coordinates of all 6 atoms:
1 Sr 0.0000 0.0000 0.0000
2 Mg 0.0000 0.0000 0.5000
3 Si 0.3333 0.6667 0.6890
4 Si 0.6667 0.3333 0.3110
5 Pt 0.3333 0.6667 0.3189
6 Pt 0.6667 0.3333 0.6811

=====

11.
Below is a geometry-optimized SrMgSi2Pt5 structure, with properties calculated at the GGA-PBE level.

## Properties
final energy: -5.68 eV per atom

Unit cell a=4.1227 b=4.1227 c=10.5832 alpha=90.00 beta=90.00 gamma=90.00
Fractional coordinates of all 9 atoms:
1 Sr 0.0000 0.0000 0.0000
2 Mg 0.0000 0.0000 0.5000
3 Si 0.5000 0.5000 0.2225
4 Si 0.5000 0.5000 0.7775
5 Pt 0.0000 0.5000 0.3329
6 Pt 0.0000 0.5000 0.6671
7 Pt 0.5000 0.0000 0.3329
8 Pt 0.5000 0.0000 0.6671
9 Pt 0.5000 0.5000 0.0000

=====

12.
Below is a geometry-optimized Sr2MgSi3Pt4 structure, with properties calculated at the GGA-PBE level.

## Properties
final energy: -5.45 eV per atom

Unit cell a=4.3593 b=4.3593 c=10.1589 alpha=90.00 beta=90.00 gamma=90.00
Fractional coordinates of all 10 atoms:
1 Sr 0.0000 0.5000 0.2475
2 Sr 0.5000 0.0000 0.7525
3 Mg 0.0000 0.0000 0.5000
4 Si 0.0000 0.5000 0.8797
5 Si 0.5000 0.0000 0.1203
6 Si 0.5000 0.5000 0.5000
7 Pt 0.0000 0.0000 0.0000
8 Pt 0.0000 0.5000 0.6395
9 Pt 0.5000 0.0000 0.3605
10 Pt 0.5000 0.5000 0.0000

=====

13.
Below is a geometry-optimized MgTa2SiPt structure, with properties calculated at the GGA-PBE level.

## Properties
final energy: -6.68 eV per atom

Unit cell a=4.6489 b=4.6489 c=4.5476 alpha=90.00 beta=90.00 gamma=90.00
Fractional coordinates of all 5 atoms:
1 Mg 0.0000 0.0000 0.0000
2 Ta 0.0000 0.5000 0.5000
3 Ta 0.5000 0.0000 0.5000
4 Si 0.0000 0.0000 0.5000
5 Pt 0.5000 0.5000 0.0000

=====

14.
Below is a geometry-optimized Tb2MgSi3Pt12 structure, with properties calculated at the GGA-PBE level.

## Properties
final energy: -6.08 eV per atom

Unit cell a=7.4976 b=7.4976 c=7.4976 alpha=67.42 beta=67.42 gamma=67.42
Fractional coordinates of all 18 atoms:
1 Tb 0.1064 0.1064 0.1064
2 Tb 0.8936 0.8936 0.8936
3 Mg 0.5000 0.5000 0.5000
4 Si 0.0000 0.5000 0.5000
5 Si 0.5000 0.0000 0.5000
6 Si 0.5000 0.5000 0.0000
7 Pt 0.1210 0.6402 0.6402
8 Pt 0.1448 0.1448 0.6043
9 Pt 0.1448 0.6043 0.1448
10 Pt 0.3598 0.3598 0.8790
11 Pt 0.3598 0.8790 0.3598
12 Pt 0.3957 0.8552 0.8552
13 Pt 0.6043 0.1448 0.1448
14 Pt 0.6402 0.1210 0.6402
15 Pt 0.6402 0.6402 0.1210
16 Pt 0.8552 0.3957 0.8552
17 Pt 0.8552 0.8552 0.3957
18 Pt 0.8790 0.3598 0.3598

=====

15.
Below is a geometry-optimized TbMgSi2Pt2 structure, with properties calculated at the GGA-PBE level.

## Properties
final energy: -5.82 eV per atom

Unit cell a=4.2478 b=4.2478 c=6.8089 alpha=90.00 beta=90.00 gamma=120.00
Fractional coordinates of all 6 atoms:
1 Tb 0.0000 0.0000 0.0000
2 Mg 0.0000 0.0000 0.5000
3 Si 0.3333 0.6667 0.7104
4 Si 0.6667 0.3333 0.2896
5 Pt 0.3333 0.6667 0.2959
6 Pt 0.6667 0.3333 0.7041

=====

16.
Below is a geometry-optimized Tb2MgSi4Pt3 structure, with properties calculated at the GGA-PBE level.

## Properties
final energy: -6.05 eV per atom

Unit cell a=4.1301 b=4.1301 c=10.4825 alpha=90.00 beta=90.00 gamma=90.00
Fractional coordinates of all 10 atoms:
1 Tb 0.0000 0.5000 0.2449
2 Tb 0.5000 0.0000 0.7551
3 Mg 0.0000 0.0000 0.5000
4 Si 0.0000 0.0000 0.0000
5 Si 0.0000 0.5000 0.6494
6 Si 0.5000 0.0000 0.3506
7 Si 0.5000 0.5000 0.0000
8 Pt 0.0000 0.5000 0.8786
9 Pt 0.5000 0.0000 0.1214
10 Pt 0.5000 0.5000 0.5000

=====

17.
Below is a geometry-optimized Tb2MgSi3Pt4 structure, with properties calculated at the GGA-PBE level.

## Properties
final energy: -6.19 eV per atom

Unit cell a=4.1993 b=4.1993 c=10.2327 alpha=90.00 beta=90.00 gamma=90.00
Fractional coordinates of all 10 atoms:
1 Tb 0.0000 0.5000 0.2454
2 Tb 0.5000 0.0000 0.7546
3 Mg 0.0000 0.0000 0.5000
4 Si 0.0000 0.5000 0.8717
5 Si 0.5000 0.0000 0.1283
6 Si 0.5000 0.5000 0.5000
7 Pt 0.0000 0.0000 0.0000
8 Pt 0.0000 0.5000 0.6426
9 Pt 0.5000 0.0000 0.3574
10 Pt 0.5000 0.5000 0.0000

=====

18.
Below is a geometry-optimized Th2MgSi4Pt3 structure, with properties calculated at the GGA-PBE level.

## Properties
final energy: -6.62 eV per atom

Unit cell a=4.2532 b=4.2532 c=10.2425 alpha=90.00 beta=90.00 gamma=90.00
Fractional coordinates of all 10 atoms:
1 Th 0.0000 0.5000 0.2414
2 Th 0.5000 0.0000 0.7586
3 Mg 0.0000 0.0000 0.5000
4 Si 0.0000 0.0000 0.0000
5 Si 0.0000 0.5000 0.6448
6 Si 0.5000 0.0000 0.3552
7 Si 0.5000 0.5000 0.0000
8 Pt 0.0000 0.5000 0.8836
9 Pt 0.5000 0.0000 0.1164
10 Pt 0.5000 0.5000 0.5000

=====

19.
Below is a geometry-optimized Th2MgSi3Pt12 structure, with properties calculated at the GGA-PBE level.

## Properties
final energy: -6.45 eV per atom

Unit cell a=7.6069 b=7.6069 c=7.6069 alpha=66.31 beta=66.31 gamma=66.31
Fractional coordinates of all 18 atoms:
1 Th 0.1115 0.1115 0.1115
2 Th 0.8885 0.8885 0.8885
3 Mg 0.5000 0.5000 0.5000
4 Si 0.0000 0.5000 0.5000
5 Si 0.5000 0.0000 0.5000
6 Si 0.5000 0.5000 0.0000
7 Pt 0.1213 0.6375 0.6375
8 Pt 0.1453 0.1453 0.6049
9 Pt 0.1453 0.6049 0.1453
10 Pt 0.3625 0.3625 0.8787
11 Pt 0.3625 0.8787 0.3625
12 Pt 0.3951 0.8547 0.8547
13 Pt 0.6049 0.1453 0.1453
14 Pt 0.6375 0.1213 0.6375
15 Pt 0.6375 0.6375 0.1213
16 Pt 0.8547 0.3951 0.8547
17 Pt 0.8547 0.8547 0.3951
18 Pt 0.8787 0.3625 0.3625

=====

20.
Below is a geometry-optimized ThMgSi2Pt5 structure, with properties calculated at the GGA-PBE level.

## Properties
final energy: -6.32 eV per atom

Unit cell a=4.0966 b=4.0966 c=10.5959 alpha=90.00 beta=90.00 gamma=90.00
Fractional coordinates of all 9 atoms:
1 Th 0.0000 0.0000 0.0000
2 Mg 0.0000 0.0000 0.5000
3 Si 0.5000 0.5000 0.2221
4 Si 0.5000 0.5000 0.7779
5 Pt 0.0000 0.5000 0.3306
6 Pt 0.0000 0.5000 0.6694
7 Pt 0.5000 0.0000 0.3306
8 Pt 0.5000 0.0000 0.6694
9 Pt 0.5000 0.5000 0.0000

=====

21.
Below is a geometry-optimized Th2MgSiPt6 structure, with properties calculated at the GGA-PBE level.

## Properties
final energy: -6.75 eV per atom

Unit cell a=5.5729 b=8.6977 c=8.4069 alpha=90.00 beta=90.00 gamma=90.00
Fractional coordinates of all 20 atoms:
1 Th 0.2500 0.0023 0.2331
2 Th 0.2500 0.4977 0.2331
3 Th 0.7500 0.5023 0.7669
4 Th 0.7500 0.9977 0.7669
5 Mg 0.2500 0.7500 0.7880
6 Mg 0.7500 0.2500 0.2120
7 Si 0.2500 0.2500 0.7277
8 Si 0.7500 0.7500 0.2723
9 Pt 0.0010 0.2500 0.4808
10 Pt 0.0037 0.2500 0.9588
11 Pt 0.2500 0.0018 0.6080
12 Pt 0.2500 0.4982 0.6080
13 Pt 0.4963 0.2500 0.9588
14 Pt 0.4990 0.2500 0.4808
15 Pt 0.5010 0.7500 0.5192
16 Pt 0.5037 0.7500 0.0412
17 Pt 0.7500 0.5018 0.3920
18 Pt 0.7500 0.9982 0.3920
19 Pt 0.9963 0.7500 0.0412
20 Pt 0.9990 0.7500 0.5192

=====

22.
Below is a geometry-optimized ThMgSi2Pt2 structure, with properties calculated at the GGA-PBE level.

## Properties
final energy: -6.28 eV per atom

Unit cell a=4.2725 b=4.2725 c=6.9755 alpha=90.00 beta=90.00 gamma=120.00
Fractional coordinates of all 6 atoms:
1 Th 0.0000 0.0000 0.0000
2 Mg 0.0000 0.0000 0.5000
3 Si 0.3333 0.6667 0.2867
4 Si 0.6667 0.3333 0.7133
5 Pt 0.3333 0.6667 0.6956
6 Pt 0.6667 0.3333 0.3044